Nd2ZrH | PBE-GGA | relaxed

Symmetry: P4/mmm, No. 123
Polymorph energy (0 for the lowest one), meV/atom: 0
Calculated total energy, eV per atom: -5.250
Size of the total moment, μB/f.u.: 0.00

Geometry as CIF:
```
data_Nd2ZrH
_cell_length_a 3.3477
_cell_length_b 3.3477
_cell_length_c 8.2596
_cell_angle_alpha 90.00
_cell_angle_beta 90.00
_cell_angle_gamma 90.00
_symmetry_space_group_name_H-M 'P 1'
_symmetry_Int_Tables_number 1
_symmetry_space_group_name_Hall 'P 1'
loop_
_atom_site_label
_atom_site_type_symbol
_atom_site_fract_x
_atom_site_fract_y
_atom_site_fract_z
_atom_site_occupancy
Nd1 Nd 0.0000 0.0000 0.2071 1
Nd2 Nd 0.0000 0.0000 0.7929 1
Zr1 Zr 0.5000 0.5000 0.5000 1
H1 H 0.5000 0.5000 0.0000 1
```

=====

InSbSeI2 | PBE-GGA | relaxed

Symmetry: P4/mmm, No. 123
Polymorph energy (0 for the lowest one), meV/atom: 0
Calculated total energy, eV per atom: -2.454
Raw formation energy, kJ/mol of formula units: 114
Size of the total moment, μB/f.u.: 0.00

Geometry as CIF:
```
data_InSbSeI2
_cell_length_a 5.9567
_cell_length_b 5.9567
_cell_length_c 5.4565
_cell_angle_alpha 90.00
_cell_angle_beta 90.00
_cell_angle_gamma 90.00
_symmetry_space_group_name_H-M 'P 1'
_symmetry_Int_Tables_number 1
_symmetry_space_group_name_Hall 'P 1'
loop_
_atom_site_label
_atom_site_type_symbol
_atom_site_fract_x
_atom_site_fract_y
_atom_site_fract_z
_atom_site_occupancy
In1 In 0.0000 0.0000 0.0000 1
Sb1 Sb 0.5000 0.5000 0.0000 1
Se1 Se 0.5000 0.5000 0.5000 1
I1 I 0.0000 0.5000 0.5000 1
I2 I 0.5000 0.0000 0.5000 1
```